[1]
This record from the Alexandria database describes a relaxed Dy4HCS2 crystal. The functional is PBE.

```
data_Dy4HCS2
_chemical_formula_sum 'Dy4 H1 C1 S2'
_cell_length_a 3.757
_cell_length_b 6.410
_cell_length_c 6.551
_cell_angle_alpha 107.82
_cell_angle_beta 90.00
_cell_angle_gamma 90.00
_space_group_name_H-M_alt 'P 1'
_space_group_IT_number 1
_space_group_name_Hall 'P 1'
loop_
_atom_site_label
_atom_site_type_symbol
_atom_site_fract_x
_atom_site_fract_y
_atom_site_fract_z
S1 S 0.000 0.500 0.500
S2 S 0.500 0.000 0.500
C1 C 0.500 0.500 0.000
Dy1 Dy 0.500 0.265 0.237
Dy2 Dy 0.000 0.732 0.213
Dy3 Dy 0.000 0.268 0.787
Dy4 Dy 0.500 0.735 0.763
H1 H 0.000 0.000 0.000
```

- E: -6.130 eV per atom
- SG: P2/m

***

[2]
This record from the Alexandria database describes a relaxed Dy8HC3S4 crystal. The functional is PBE.

```
data_Dy8HC3S4
_chemical_formula_sum 'Dy8 H1 C3 S4'
_cell_length_a 7.445
_cell_length_b 7.607
_cell_length_c 7.444
_cell_angle_alpha 119.29
_cell_angle_beta 120.00
_cell_angle_gamma 90.00
_space_group_name_H-M_alt 'P 1'
_space_group_IT_number 1
_space_group_name_Hall 'P 1'
loop_
_atom_site_label
_atom_site_type_symbol
_atom_site_fract_x
_atom_site_fract_y
_atom_site_fract_z
Dy1 Dy 0.275 0.278 0.026
Dy2 Dy 0.248 0.722 0.974
Dy3 Dy 0.248 0.722 0.497
Dy4 Dy 0.262 0.287 0.525
Dy5 Dy 0.738 0.713 0.475
Dy6 Dy 0.752 0.278 0.503
Dy7 Dy 0.752 0.278 0.026
Dy8 Dy 0.725 0.722 0.974
C1 C 0.000 0.500 0.500
C2 C 0.500 0.500 0.000
C3 C 0.500 0.500 0.500
S1 S 0.000 0.000 0.000
S2 S 0.000 0.000 0.500
S3 S 0.500 0.000 0.500
S4 S 0.500 0.000 0.000
H1 H 0.000 0.500 0.000
```

- E: -6.537 eV per atom
- SG: R-3m

***

[3]
This record from the Alexandria database describes a relaxed Dy8HC3Se4 crystal. The functional is PBE.

```
data_Dy8HC3Se4
_chemical_formula_sum 'Dy8 H1 C3 Se4'
_cell_length_a 7.561
_cell_length_b 7.840
_cell_length_c 7.561
_cell_angle_alpha 118.83
_cell_angle_beta 120.00
_cell_angle_gamma 90.00
_space_group_name_H-M_alt 'P 1'
_space_group_IT_number 1
_space_group_name_Hall 'P 1'
loop_
_atom_site_label
_atom_site_type_symbol
_atom_site_fract_x
_atom_site_fract_y
_atom_site_fract_z
Dy1 Dy 0.245 0.711 0.965
Dy2 Dy 0.735 0.704 0.469
Dy3 Dy 0.265 0.296 0.531
Dy4 Dy 0.280 0.289 0.035
Dy5 Dy 0.245 0.711 0.490
Dy6 Dy 0.755 0.289 0.510
Dy7 Dy 0.720 0.711 0.965
Dy8 Dy 0.755 0.289 0.035
C1 C 0.000 0.500 0.500
C2 C 0.500 0.500 0.500
C3 C 0.500 0.500 0.000
Se1 Se 0.000 0.000 0.000
Se2 Se 0.500 0.000 0.500
Se3 Se 0.500 0.000 0.000
Se4 Se 0.000 0.000 0.500
H1 H 0.000 0.500 0.000
```

- E: -6.239 eV per atom
- SG: R-3m

***

[4]
This record from the Alexandria database describes a relaxed Dy6HC2Se3 crystal. The functional is PBE.

```
data_Dy6HC2Se3
_chemical_formula_sum 'Dy6 H1 C2 Se3'
_cell_length_a 3.796
_cell_length_b 7.875
_cell_length_c 8.652
_cell_angle_alpha 105.34
_cell_angle_beta 102.67
_cell_angle_gamma 90.00
_space_group_name_H-M_alt 'P 1'
_space_group_IT_number 1
_space_group_name_Hall 'P 1'
loop_
_atom_site_label
_atom_site_type_symbol
_atom_site_fract_x
_atom_site_fract_y
_atom_site_fract_z
H1 H 0.500 0.000 0.000
Se1 Se 0.500 0.500 0.000
Se2 Se 0.837 0.165 0.674
Se3 Se 0.163 0.835 0.326
Dy1 Dy 0.323 0.442 0.645
Dy2 Dy 0.984 0.748 0.968
Dy3 Dy 0.335 0.879 0.671
Dy4 Dy 0.016 0.252 0.032
Dy5 Dy 0.677 0.558 0.355
Dy6 Dy 0.665 0.121 0.329
C1 C 0.165 0.331 0.331
C2 C 0.835 0.669 0.669
```

- E: -6.109 eV per atom
- SG: C2/m

***

no.,magnetization (Bohr magnetons per cell)
1,0.00
2,0.00
3,0.00
4,0.00